## ZnTcSe (PBE-GGA)

Data for a relaxed ZnTcSe crystal.

The structure in POSCAR format:
```
ZnTcSe
1.0
0.000 2.972 2.972
2.972 0.000 2.972
2.972 2.972 0.000
Zn Tc Se
1 1 1
direct
0.000 0.000 0.000
0.500 0.500 0.500
0.250 0.250 0.250
```

Total magnetization ... 0.3 Bohr magnetons per cell
Formation energy (no corrections) ... 545 meV per atom
Fermi-level density of states ... 2.605 states/eV/cell

=====

## ZnTcSe (PBE-GGA)

Data for a relaxed ZnTcSe crystal.

The structure in POSCAR format:
```
ZnTcSe
1.0
0.000 2.995 2.995
2.995 0.000 2.995
2.995 2.995 0.000
Zn Tc Se
1 1 1
direct
0.000 0.000 0.000
0.750 0.750 0.750
0.500 0.500 0.500
```

Total magnetization ... 0.0 Bohr magnetons per cell
Formation energy (no corrections) ... 345 meV per atom
Fermi-level density of states ... 2.586 states/eV/cell

=====

## ZnTcSe (PBE-GGA)

Data for a relaxed ZnTcSe crystal.

The structure in POSCAR format:
```
ZnTcSe
1.0
4.527 0.000 0.000
-2.264 3.921 0.000
0.000 0.000 2.709
Zn Tc Se
1 1 1
direct
0.000 0.000 0.000
0.333 0.667 0.500
0.667 0.333 0.500
```

Total magnetization ... 0.0 Bohr magnetons per cell
Formation energy (no corrections) ... 379 meV per atom
Fermi-level density of states ... 3.306 states/eV/cell

=====

## ZnTcSe (PBE-GGA)

Data for a relaxed ZnTcSe crystal.

The structure in POSCAR format:
```
ZnTcSe
1.0
0.000 2.530 6.801
1.514 0.000 6.801
1.514 2.530 0.000
Zn Tc Se
1 1 1
direct
0.000 0.000 0.000
0.656 0.656 0.344
0.299 0.299 0.701
```

Total magnetization ... 0.0 Bohr magnetons per cell
Formation energy (no corrections) ... 342 meV per atom
Fermi-level density of states ... 2.533 states/eV/cell